No. 1
Below is a crystal of GaI2OF relaxed with PBEsol, with properties calculated at the meta-GGA SCAN level.

Output
SG = P4/mmm (123)
Energy relative to the elements, uncorrected = 0.31 eV per atom
Total DFT energy (no corrections) = -98.046 eV for the cell shown

Cell and atoms, written as extended XYZ:
```
5
Lattice="-1.7501 -4.4119 -0.1388 3.8457 -1.4420 -2.6542 2.4240 -1.0907 4.1046" Properties=species:S:1:pos:R:3 pbc="T T T"
I 1.2120 -0.5454 2.0523
I 1.9228 -0.7210 -1.3271
O -0.8751 -2.2059 -0.0694
Ga 2.2598 -3.4723 0.6558
F 0.0000 0.0000 0.0000
```

No. 2
Below is a crystal of GaIOF2 relaxed with PBEsol, with properties calculated at the meta-GGA SCAN level.

Output
SG = P4/mmm (123)
Energy relative to the elements, uncorrected = -0.59 eV per atom
Total DFT energy (no corrections) = -69.351 eV for the cell shown

Cell and atoms, written as extended XYZ:
```
5
Lattice="4.0320 0.0000 0.0000 0.0000 4.8380 0.0000 0.0000 0.0000 4.8380" Properties=species:S:1:pos:R:3 pbc="T T T"
I 0.0000 0.0000 0.0000
O 2.0160 0.0000 0.0000
Ga 2.0160 2.4190 2.4190
F 0.0000 0.0000 2.4190
F 0.0000 2.4190 0.0000
```

No. 3
Below is a crystal of GaIO2F relaxed with PBEsol, with properties calculated at the meta-GGA SCAN level.

Output
SG = P4/mmm (123)
Energy relative to the elements, uncorrected = -0.42 eV per atom
Total DFT energy (no corrections) = -71.208 eV for the cell shown

Cell and atoms, written as extended XYZ:
```
5
Lattice="-0.6668 3.8852 0.9048 -0.7626 -1.0246 3.8376 4.9914 0.5890 1.1491" Properties=species:S:1:pos:R:3 pbc="T T T"
I 0.0000 0.0000 0.0000
O -0.3813 -0.5123 1.9188
O -0.3334 1.9426 0.4524
Ga 1.7810 1.7248 2.9458
F 2.4957 0.2945 0.5746
```

No. 4
Below is a crystal of GaTeI2F relaxed with PBEsol, with properties calculated at the meta-GGA SCAN level.

Output
SG = P4/mmm (123)
Energy relative to the elements, uncorrected = -0.17 eV per atom
Total DFT energy (no corrections) = -131.466 eV for the cell shown

Cell and atoms, written as extended XYZ:
```
5
Lattice="-2.4894 -0.9920 3.2438 2.4737 -5.3046 0.2761 4.0245 2.0705 3.7217" Properties=species:S:1:pos:R:3 pbc="T T T"
I 2.0122 1.0352 1.8608
I 1.2369 -2.6523 0.1381
Te -1.2447 -0.4960 1.6219
Ga 2.0044 -2.1131 3.6208
F 0.0000 0.0000 0.0000
```

No. 5
Below is a crystal of ZrGaI2F relaxed with PBEsol, with properties calculated at the meta-GGA SCAN level.

Output
SG = P4/mmm (123)
Energy relative to the elements, uncorrected = -0.77 eV per atom
Total DFT energy (no corrections) = -127.932 eV for the cell shown

Cell and atoms, written as extended XYZ:
```
5
Lattice="4.0227 0.0000 0.0000 0.0000 5.8263 0.0000 0.0000 0.0000 5.8263" Properties=species:S:1:pos:R:3 pbc="T T T"
I 0.0000 0.0000 2.9131
I 0.0000 2.9131 0.0000
Ga 2.0113 2.9131 2.9131
Zr 2.0113 0.0000 0.0000
F 0.0000 0.0000 0.0000
```

No. 6
Below is a crystal of InGa3F relaxed with PBEsol, with properties calculated at the meta-GGA SCAN level.

Output
SG = Pm-3m (221)
Energy relative to the elements, uncorrected = 0.22 eV per atom
Total DFT energy (no corrections) = -84.870 eV for the cell shown

Cell and atoms, written as extended XYZ:
```
5
Lattice="5.2483 0.0000 0.0000 0.0000 5.2483 0.0000 0.0000 0.0000 5.2483" Properties=species:S:1:pos:R:3 pbc="T T T"
F 2.6241 2.6241 2.6241
Ga 0.0000 2.6241 0.0000
Ga 0.0000 0.0000 2.6241
Ga 2.6241 0.0000 0.0000
In 0.0000 0.0000 0.0000
```

Q: Which value of total DFT energy (no corrections) does entry 6 give?
A: -84.870 eV for the cell shown